{
  "formula": "Cd3Ru4",
  "functional": "GGA-PBE",
  "state": "relaxed",
  "sg": "No. 139",
  "e_tot_ev_per_atom": -5.55,
  "lattice": [[-5.8731, -9.2478, 9.4021], [-9.1306, -8.6495, 7.0875], [8.0538, 7.4018, -9.4214]],
  "species": ["Ru", "Ru", "Ru", "Ru", "Cd", "Cd", "Cd"],
  "frac_coords": [[0.4243, 0.4243, 0.0000], [0.5757, 0.5757, 0.0000], [0.8686, 0.8686, 0.0000], [0.1314, 0.1314, 0.0000], [0.0000, 0.0000, 0.0000], [0.2944, 0.2944, 0.0000], [0.7056, 0.7056, 0.0000]]
}